# PBE LiHoBiRu, optimized geometry
data_LiHoBiRu
_cell_length_a 6.766
_cell_length_b 6.766
_cell_length_c 6.766
_cell_angle_alpha 90.00
_cell_angle_beta 90.00
_cell_angle_gamma 90.00
_space_group_name_H-M_alt 'P 1'
_space_group_IT_number 1
loop_
_space_group_symop_operation_xyz
'x,y,z'
loop_
_atom_site_label
_atom_site_type_symbol
_atom_site_fract_x
_atom_site_fract_y
_atom_site_fract_z
Li1 Li 0.000 0.000 0.000
Li2 Li 0.000 0.500 0.500
Li3 Li 0.500 0.000 0.500
Li4 Li 0.500 0.500 0.000
Ho1 Ho 0.250 0.250 0.250
Ho2 Ho 0.250 0.750 0.750
Ho3 Ho 0.750 0.250 0.750
Ho4 Ho 0.750 0.750 0.250
Bi1 Bi 0.250 0.250 0.750
Bi2 Bi 0.250 0.750 0.250
Bi3 Bi 0.750 0.250 0.250
Bi4 Bi 0.750 0.750 0.750
Ru1 Ru 0.000 0.000 0.500
Ru2 Ru 0.000 0.500 0.000
Ru3 Ru 0.500 0.000 0.000
Ru4 Ru 0.500 0.500 0.500
# Space group: F-43m, No. 216
# Final energy (eV per cell): -83.79
# Formation energy (kJ/mol of formula units): -125